1.
Below is Zn2CdCu2 after structural relaxation, with properties calculated at the PBE-GGA level.

a b c (Å): 7.0781 7.0781 2.9835
angles (deg): 90.00 90.00 90.00
Closest atoms and distances in Å follow each position.
Positions (direct):
Zn  0.1630  0.6630  0.5000  6 Cu 2.55-2.57
Zn  0.8370  0.3370  0.5000  6 Cu 2.55-2.57
Cu  0.6308  0.1308  0.0000  6 Zn 2.55-2.57, 1 Cu 2.62, 2 Cd 2.77
Cd  0.0000  0.0000  0.0000  4 Cu 2.77, 2 Cd 2.98, 8 Zn 3.04
Cu  0.1308  0.3692  0.0000  6 Zn 2.55-2.57, 1 Cu 2.62, 2 Cd 2.77
Cu  0.3692  0.8692  0.0000  6 Zn 2.55-2.57, 1 Cu 2.62, 2 Cd 2.77
Zn  0.3370  0.1630  0.5000  6 Cu 2.55-2.57
Zn  0.6630  0.8370  0.5000  6 Cu 2.55-2.57
Cd  0.5000  0.5000  0.0000  4 Cu 2.77, 2 Cd 2.98, 8 Zn 3.04
Cu  0.8692  0.6308  0.0000  6 Zn 2.55-2.57, 1 Cu 2.62, 2 Cd 2.77

Summary:
* formation energy: -0.01 eV per atom


2.
Below is Ta2Co3Rh2 after structural relaxation, with properties calculated at the PBE-GGA level.

a b c (Å): 4.7048 4.7084 7.2438
angles (deg): 69.15 123.70 133.91
Closest atoms and distances in Å follow each position.
Positions (direct):
Co  0.4118  0.7135  0.1250  4 Ta 2.51-2.75, 5 Co 2.52-2.68, 2 Rh 2.65-2.66
Rh  0.2690  0.1409  0.4102  4 Co 2.63-2.94, 5 Ta 2.70-2.80, 3 Rh 2.76-2.79
Ta  0.8418  0.4241  0.2652  6 Co 2.51-2.75, 5 Rh 2.70-2.80
Ta  0.1582  0.5759  0.7348  6 Co 2.51-2.75, 5 Rh 2.70-2.80
Co  0.0000  0.0000  0.0000  4 Ta 2.58, 2 Rh 2.63, 6 Co 2.65-2.68
Co  0.5882  0.2865  0.8750  4 Ta 2.51-2.75, 5 Co 2.52-2.68, 2 Rh 2.65-2.66
Rh  0.7310  0.8591  0.5898  4 Co 2.63-2.94, 5 Ta 2.70-2.80, 3 Rh 2.76-2.79

Summary:
* formation energy: -0.27 eV per atom


3.
Below is ReAs2P after structural relaxation, with properties calculated at the PBE-GGA level.

a b c (Å): 4.6040 4.6040 3.1156
angles (deg): 90.00 90.00 106.78
Closest atoms and distances in Å follow each position.
Positions (direct):
As  0.5000  0.5000  0.0000  2 As 2.75, 4 Re 2.78, 4 P 2.78
Re  0.0000  0.5000  0.5000  2 P 2.75, 8 As 2.78
P  0.5000  0.0000  0.5000  2 Re 2.75, 8 As 2.78
As  0.0000  0.0000  0.0000  2 As 2.75, 4 P 2.78, 4 Re 2.78

Summary:
* formation energy: 0.69 eV per atom


4.
Below is HfRe3Bi after structural relaxation, with properties calculated at the PBE-GGA level.

a b c (Å): 4.8885 4.8885 4.8885
angles (deg): 90.00 90.00 90.00
Closest atoms and distances in Å follow each position.
Positions (direct):
Hf  0.5000  0.5000  0.5000  12 Re 3.46
Bi  0.0000  0.0000  0.0000  6 Re 2.44
Re  0.0000  0.0000  0.5000  2 Bi 2.44
Re  0.0000  0.5000  0.0000  2 Bi 2.44
Re  0.5000  0.0000  0.0000  2 Bi 2.44

Summary:
* formation energy: 2.65 eV per atom


5.
Below is Cr2Sb2As after structural relaxation, with properties calculated at the PBE-GGA level.

a b c (Å): 6.9832 6.9832 4.0862
angles (deg): 90.00 90.00 90.00
Closest atoms and distances in Å follow each position.
Positions (direct):
As  0.0000  0.0000  0.0000  4 Cr 2.65
Cr  0.8482  0.6518  0.0000  2 As 2.65, 2 Sb 2.78
As  0.5000  0.5000  0.0000  4 Cr 2.65
Sb  0.8426  0.3426  0.5000  6 Cr 2.78-2.97, 1 Sb 3.11
Sb  0.6574  0.8426  0.5000  6 Cr 2.78-2.97, 1 Sb 3.11
Cr  0.3482  0.8482  0.0000  2 As 2.65, 2 Sb 2.78
Cr  0.1518  0.3482  0.0000  2 As 2.65, 2 Sb 2.78
Cr  0.6518  0.1518  0.0000  2 As 2.65, 2 Sb 2.78
Sb  0.1574  0.6574  0.5000  6 Cr 2.78-2.97, 1 Sb 3.11
Sb  0.3426  0.1574  0.5000  6 Cr 2.78-2.97, 1 Sb 3.11

Summary:
* formation energy (no corrections): 1.44 eV per formula unit


6.
Below is LiPmSi after structural relaxation, with properties calculated at the PBE-GGA level.

a b c (Å): 3.7323 4.4286 4.4286
angles (deg): 120.00 90.00 90.00
Closest atoms and distances in Å follow each position.
Positions (direct):
Si  0.1662  0.0000  0.0000  3 Li 2.56
Li  0.1670  0.6667  0.3333  3 Si 2.56
Pm  0.6668  0.3333  0.6667  6 Si 3.16-3.17, 6 Li 3.17

Summary:
* formation energy (no corrections): -1.35 eV per formula unit


7.
Below is Te2OsNO after structural relaxation, with properties calculated at the PBE-GGA level.

a b c (Å): 5.3417 5.3417 3.6322
angles (deg): 90.00 90.00 90.00
Closest atoms and distances in Å follow each position.
Positions (direct):
O  0.5000  0.5000  0.5000  8 Te 3.23
N  0.0000  0.0000  0.5000  2 Os 1.82
Os  0.0000  0.0000  0.0000  2 N 1.82
Te  0.5000  0.0000  0.0000  2 Os 2.67
Te  0.0000  0.5000  0.0000  2 Os 2.67

Summary:
* formation energy (no corrections): 3.70 eV per formula unit


8.
Below is NaPtBr4 after structural relaxation, with properties calculated at the PBE-GGA level.

a b c (Å): 4.0530 8.6008 11.1046
angles (deg): 81.64 79.49 76.37
Closest atoms and distances in Å follow each position.
Positions (direct):
Na  0.2489  0.2500  0.7500  6 Br 2.96-3.02
Br  0.8983  0.4246  0.1565  1 Pt 2.50
Na  0.7511  0.7500  0.2500  6 Br 2.96-3.02
Br  0.1694  0.7156  0.4486  1 Pt 2.50
Br  0.3336  0.7844  0.0514  1 Pt 2.50
Br  0.5206  0.9246  0.6565  1 Pt 2.50
Br  0.6664  0.2156  0.9486  1 Pt 2.50
Br  0.8306  0.2844  0.5514  1 Pt 2.50
Br  0.4794  0.0754  0.3435  1 Pt 2.50
Pt  0.0000  0.0000  0.5000  4 Br 2.50
Br  0.1017  0.5754  0.8435  1 Pt 2.50
Pt  0.5000  0.5000  0.0000  4 Br 2.50

Summary:
* formation energy (no corrections): -3.80 eV per formula unit


9.
Below is Pm7Y2Ho2 after structural relaxation, with properties calculated at the PBE-GGA level.

a b c (Å): 8.2025 6.9807 6.9807
angles (deg): 78.22 78.36 78.36
Closest atoms and distances in Å follow each position.
Positions (direct):
Pm  0.0000  0.0000  0.0000  6 Pm 3.62-4.03
Y  0.5000  0.7903  0.2097  6 Pm 3.46-3.56, 2 Ho 3.56, 1 Y 3.69
Pm  0.1796  0.0832  0.4780  5 Pm 3.32-3.62, 3 Ho 3.42-3.64, 1 Y 3.46
Pm  0.5524  0.2644  0.2644  1 Ho 3.28, 4 Pm 3.41-3.48, 4 Y 3.53-3.56
Pm  0.8204  0.9168  0.5220  5 Pm 3.32-3.62, 3 Ho 3.42-3.64, 1 Y 3.46
Ho  0.1879  0.5504  0.5504  7 Pm 3.28-3.64, 1 Ho 3.53, 2 Y 3.56
Pm  0.4476  0.7356  0.7356  1 Ho 3.28, 4 Pm 3.41-3.48, 4 Y 3.53-3.56
Y  0.5000  0.2097  0.7903  6 Pm 3.46-3.56, 2 Ho 3.56, 1 Y 3.69
Ho  0.8121  0.4496  0.4496  7 Pm 3.28-3.64, 1 Ho 3.53, 2 Y 3.56
Pm  0.8204  0.5220  0.9168  5 Pm 3.32-3.62, 3 Ho 3.42-3.64, 1 Y 3.46
Pm  0.1796  0.4780  0.0832  5 Pm 3.32-3.62, 3 Ho 3.42-3.64, 1 Y 3.46

Summary:
* formation energy: 0.15 eV per atom


10.
Below is ZrScTeN2 after structural relaxation, with properties calculated at the PBE-GGA level.

a b c (Å): 4.1975 4.1975 5.7992
angles (deg): 90.00 90.00 90.00
Closest atoms and distances in Å follow each position.
Positions (direct):
Te  0.0000  0.0000  0.5000  2 Zr 2.90, 4 Sc 2.97
Sc  0.5000  0.5000  0.5000  4 Te 2.97
N  0.5000  0.0000  0.0000  2 Zr 2.10
Zr  0.0000  0.0000  0.0000  4 N 2.10
N  0.0000  0.5000  0.0000  2 Zr 2.10

Summary:
* formation energy (no corrections): -0.41 eV per formula unit


11.
Below is Li2LaDyS4 after structural relaxation, with properties calculated at the PBE-GGA level.

a b c (Å): 4.0336 7.0031 6.6090
angles (deg): 110.73 90.00 90.00
Closest atoms and distances in Å follow each position.
Positions (direct):
Li  0.5000  0.0000  0.5000  6 S 2.82-2.85
S  0.5000  0.7359  0.7445  3 Li 2.74-2.85, 1 Dy 2.75, 2 La 2.85
Li  0.0000  0.5000  0.5000  6 S 2.73-2.74
S  0.5000  0.2641  0.2555  3 Li 2.74-2.85, 1 Dy 2.75, 2 La 2.85
La  0.0000  0.0000  0.0000  6 S 2.85-2.87
Dy  0.5000  0.5000  0.0000  6 S 2.75-2.77
S  0.0000  0.7403  0.2518  3 Li 2.73-2.82, 2 Dy 2.77, 1 La 2.87
S  0.0000  0.2597  0.7482  3 Li 2.73-2.82, 2 Dy 2.77, 1 La 2.87

Summary:
* formation energy (no corrections): -14.65 eV per formula unit


12.
Below is CrCdPb2 after structural relaxation, with properties calculated at the PBE-GGA level.

a b c (Å): 6.0014 6.0014 5.4368
angles (deg): 70.59 70.59 32.96
Closest atoms and distances in Å follow each position.
Positions (direct):
Pb  0.2390  0.2390  0.2929  4 Cr 3.14-3.30, 3 Cd 3.18-3.35, 3 Pb 3.41-3.50
Cr  0.7641  0.7641  0.7917  2 Cd 2.94, 4 Pb 3.10-3.14
Pb  0.0252  0.0252  0.9339  3 Cr 3.10-3.35, 4 Cd 3.22-3.30, 2 Pb 3.41
Cd  0.4717  0.4717  0.4815  2 Cr 2.94, 3 Pb 3.18-3.22

Summary:
* formation energy: 0.35 eV per atom